# SrNb2CoF

A relaxed SrNb2CoF crystal (PBE+U, the Alexandria database).

Cell and atoms, written as POSCAR:
```
SrNb2CoF
1.0
5.125 0.000 0.000
0.000 5.125 0.000
0.000 0.000 4.327
Sr Nb Co F
1 2 1 1
Direct
0.000 0.000 0.000
0.000 0.500 0.000
0.500 0.000 0.000
0.000 0.000 0.500
0.500 0.500 0.500
```

Properties
VASP energy: -3.132 eV/atom